No. 1
## TaBi3Os (PBE)

Data for a relaxed structure of TaBi3Os.

Geometry as POSCAR:
```
TaBi3Os
1.0
5.2796 0.0000 0.0000
0.0000 5.2796 0.0000
0.0000 0.0000 5.2796
Ta Bi Os
1 3 1
direct
0.0000 0.0000 0.0000
0.0000 0.5000 0.5000
0.5000 0.0000 0.5000
0.5000 0.5000 0.0000
0.5000 0.5000 0.5000
```

Properties
* symmetry: No. 221
* uncorrected energy: -5.451 eV per atom
* N(E_F): 4.907 states/eV/f.u.
* energy relative to the lowest polymorph listed for this composition: 0 meV/atom

***

No. 2
## Ta2BiOs2 (PBE)

Data for a relaxed structure of Ta2BiOs2.

Geometry as POSCAR:
```
Ta2BiOs2
1.0
7.8400 0.0000 0.0000
0.0000 7.8400 0.0000
0.0000 0.0000 3.0403
Ta Bi Os
4 2 4
direct
0.1487 0.3513 0.0000
0.3513 0.8513 0.0000
0.6487 0.1487 0.0000
0.8513 0.6487 0.0000
0.0000 0.0000 0.5000
0.5000 0.5000 0.5000
0.1360 0.6360 0.5000
0.3640 0.1360 0.5000
0.6360 0.8640 0.5000
0.8640 0.3640 0.5000
```

Properties
* symmetry: No. 127
* uncorrected energy: -9.943 eV per atom
* N(E_F): 2.958 states/eV/f.u.

***

No. 3
## Tb2BiOs (PBE)

Data for a relaxed structure of Tb2BiOs.

Geometry as POSCAR:
```
Tb2BiOs
1.0
3.4370 0.0000 0.0000
0.0000 3.4370 0.0000
0.0000 0.0000 8.4731
Tb Bi Os
2 1 1
direct
0.0000 0.0000 0.1974
0.0000 0.0000 0.8026
0.5000 0.5000 0.5000
0.5000 0.5000 0.0000
```

Properties
* symmetry: No. 123
* uncorrected energy: -6.539 eV per atom
* N(E_F): 1.436 states/eV/f.u.

***

No. 4
## Tb3Bi2Os (PBE)

Data for a relaxed structure of Tb3Bi2Os.

Geometry as POSCAR:
```
Tb3Bi2Os
1.0
3.0374 -8.3226 0.0000
3.0374 8.3226 0.0000
0.0000 0.0000 3.5507
Tb Bi Os
3 2 1
direct
0.0000 0.0000 0.0000
0.3741 0.6259 0.5000
0.6259 0.3741 0.5000
0.1714 0.8286 0.5000
0.8286 0.1714 0.5000
0.5000 0.5000 0.0000
```

Properties
* symmetry: No. 65
* uncorrected energy: -5.732 eV per atom
* N(E_F): 3.780 states/eV/f.u.

***

No. 5
## Tb7Bi2Os2 (PBE)

Data for a relaxed structure of Tb7Bi2Os2.

Geometry as POSCAR:
```
Tb7Bi2Os2
1.0
-2.0099 8.2171 4.6662
2.0099 -8.2171 4.6662
2.0099 8.2171 -4.6662
Tb Bi Os
7 2 2
direct
0.0000 0.0000 0.0000
0.0640 0.3800 0.6840
0.0874 0.7461 0.3412
0.4049 0.7461 0.6588
0.4534 0.5859 0.8675
0.6960 0.3800 0.3160
0.7183 0.5859 0.1325
0.3316 0.3316 0.0000
0.7416 0.2416 0.5000
0.3120 0.0682 0.2437
0.8245 0.0682 0.7563
```

Properties
* symmetry: No. 44
* uncorrected energy: -6.112 eV per atom
* N(E_F): 8.341 states/eV/f.u.
* energy relative to the lowest polymorph listed for this composition: 0 meV/atom

***

No. 6
## Tb5Bi2Os (PBE)

Data for a relaxed structure of Tb5Bi2Os.

Geometry as POSCAR:
```
Tb5Bi2Os
1.0
2.8751 -7.3450 0.0000
2.8751 7.3450 0.0000
0.0000 0.0000 14.9022
Tb Bi Os
10 4 2
direct
0.0493 0.9507 0.6286
0.0493 0.9507 0.8714
0.2920 0.7080 0.2500
0.2974 0.7026 0.6110
0.2974 0.7026 0.8890
0.7026 0.2974 0.1110
0.7026 0.2974 0.3890
0.7080 0.2920 0.7500
0.9507 0.0493 0.1286
0.9507 0.0493 0.3714
0.1518 0.8482 0.0547
0.1518 0.8482 0.4453
0.8482 0.1518 0.5547
0.8482 0.1518 0.9453
0.1827 0.8173 0.7500
0.8173 0.1827 0.2500
```

Properties
* symmetry: No. 63
* uncorrected energy: -5.435 eV per atom
* N(E_F): 6.905 states/eV/f.u.